# 1
CaCd3Ni | GGA-PBE | optimized geometry

Cell lengths 4.9833, 4.9833, 4.9833 Å; angles 90.00, 90.00, 90.00 degrees
Fractional coordinates of all 5 atoms:
1 Ni 0.0000 0.0000 0.0000
2 Ca 0.5000 0.5000 0.5000
3 Cd 0.0000 0.5000 0.0000
4 Cd 0.0000 0.0000 0.5000
5 Cd 0.5000 0.0000 0.0000

electronic total energy: -2.188 eV per atom
total moment: 0.00 μB/f.u.
energy relative to the elements: -82 meV/atom
N(E_F): 0.564 states/eV/atom
space-group type: Pm-3m
energy above the lowest structure with this stoichiometry: 0.33 eV/f.u.



# 2
CdBPbAu2 | GGA-PBE | optimized geometry

Cell lengths 5.3554, 5.6712, 5.3554 Å; angles 90.00, 90.00, 90.00 degrees
Fractional coordinates of all 5 atoms:
1 Pb 0.0000 0.0000 0.0000
2 B 0.5000 0.5000 0.5000
3 Au 0.0000 0.0000 0.5000
4 Au 0.5000 0.0000 0.0000
5 Cd 0.0000 0.5000 0.0000

electronic total energy: -2.087 eV per atom
total moment: 0.00 μB/f.u.
energy relative to the elements: 1484 meV/atom
N(E_F): 0.766 states/eV/atom
space-group type: P4/mmm



# 3
Hg2Bi4Se5 | GGA-PBE | optimized geometry

Cell lengths 4.1453, 8.2517, 11.6027 Å; angles 110.48, 100.29, 90.00 degrees
Fractional coordinates of all 11 atoms:
1 Hg 0.7762 0.7603 0.5524
2 Hg 0.2238 0.2397 0.4476
3 Bi 0.6415 0.6475 0.2829
4 Bi 0.0030 0.7487 0.0060
5 Bi 0.3585 0.3525 0.7171
6 Bi 0.9970 0.2513 0.9940
7 Se 0.1391 0.8959 0.2781
8 Se 0.8609 0.1041 0.7219
9 Se 0.1343 0.3877 0.2687
10 Se 0.5000 0.0000 0.0000
11 Se 0.8657 0.6123 0.7313

electronic total energy: -3.187 eV per atom
total moment: 0.00 μB/f.u.
N(E_F): 0.244 states/eV/atom
raw formation energy: -137 meV/atom
space-group type: C2/m



# 4
CeGe3Au3 | GGA-PBE | optimized geometry

Cell lengths 7.0612, 7.0612, 7.0612 Å; angles 90.00, 90.00, 90.00 degrees
Each line ends with the local moment (μB).
Fractional coordinates of all 14 atoms:
1 Ge 0.2500 0.0000 0.5000  -0.01
2 Ge 0.0000 0.5000 0.2500  -0.01
3 Ge 0.5000 0.7500 0.0000  -0.01
4 Ge 0.7500 0.0000 0.5000  -0.01
5 Ge 0.0000 0.5000 0.7500  -0.01
6 Ge 0.5000 0.2500 0.0000  -0.01
7 Au 0.0000 0.2500 0.5000  -0.01
8 Au 0.0000 0.7500 0.5000  -0.01
9 Au 0.5000 0.0000 0.7500  -0.01
10 Au 0.7500 0.5000 0.0000  -0.01
11 Au 0.5000 0.0000 0.2500  -0.01
12 Au 0.2500 0.5000 0.0000  -0.01
13 Ce 0.5000 0.5000 0.5000  1.19
14 Ce 0.0000 0.0000 0.0000  1.19

electronic total energy: -4.277 eV per atom
total moment: 1.26 μB/f.u.
energy relative to the elements: -46 meV/atom
N(E_F): 1.350 states/eV/atom
space-group type: Pm-3n
energy above the lowest structure with this stoichiometry: 0.00 eV/f.u.